1.
First-principles (GGA-PBE) data for crystalline TiNiAs2Ru at its relaxed geometry, as listed in the Alexandria database.

Calculated values
The calculation puts the calculated formation energy at 3.38 eV/f.u.

The structure in POSCAR format:
```
TiNiAs2Ru
1.0
4.6984 0.0000 0.0000
0.0000 4.6984 0.0000
0.0000 0.0000 4.4540
Ti Ni As Ru
1 1 2 1
Cartesian
0.0000 0.0000 0.0000
2.3492 2.3492 0.0000
0.0000 2.3492 2.2270
2.3492 0.0000 2.2270
2.3492 2.3492 2.2270
```

***

2.
First-principles (GGA-PBE) data for crystalline UNiAs2Ru2 at its relaxed geometry, as listed in the Alexandria database.

Calculated values
The calculation puts the calculated formation energy at -1.52 eV/f.u.

The structure in POSCAR format:
```
UNiAs2Ru2
1.0
4.0160 0.0000 0.0000
0.0000 8.3832 0.0000
0.0000 0.0000 5.7127
U Ni As Ru
2 2 4 4
Cartesian
0.0000 0.4486 0.0000
0.0000 7.9346 2.8564
2.0080 1.8110 4.0846
2.0080 6.5722 1.2282
0.0000 3.2114 4.7395
0.0000 5.1718 1.8832
2.0080 1.5346 1.7710
2.0080 6.8486 4.6274
0.0000 2.7977 2.3628
0.0000 5.5855 5.2192
2.0080 3.7048 0.4709
2.0080 4.6784 3.3272
```

***

3.
First-principles (GGA-PBE) data for crystalline Y2Ni3As4Ru at its relaxed geometry, as listed in the Alexandria database.

Calculated values
The calculation puts the calculated formation energy at -7.54 eV/f.u.

The structure in POSCAR format:
```
Y2Ni3As4Ru
1.0
4.1291 0.0000 0.0000
0.0000 4.1291 0.0000
0.0000 0.0000 9.7390
Y Ni As Ru
2 3 4 1
Cartesian
0.0000 2.0645 2.3976
2.0645 0.0000 7.3414
0.0000 2.0645 8.5499
2.0645 0.0000 1.1892
2.0645 2.0645 4.8695
0.0000 0.0000 0.0000
0.0000 2.0645 6.2298
2.0645 0.0000 3.5092
2.0645 2.0645 0.0000
0.0000 0.0000 4.8695
```

***

4.
First-principles (GGA-PBE) data for crystalline NiAs2S at its relaxed geometry, as listed in the Alexandria database.

Calculated values
The value obtained for the raw formation energy is 0.30 eV per formula unit.

The structure in POSCAR format:
```
NiAs2S
1.0
-2.7391 2.7391 5.5674
2.7391 -2.7391 5.5674
2.7391 2.7391 -5.5674
Ni As S
2 4 2
Cartesian
0.0000 0.0000 0.0000
0.0000 2.7391 2.7837
4.1086 1.1084 -1.3918
1.1084 1.3695 1.3918
-1.3695 1.6307 4.1755
1.6307 1.3695 6.9592
2.7391 0.0000 2.7837
0.0000 0.0000 5.5674
```

***

5.
First-principles (GGA-PBE) data for crystalline NiAsS3 at its relaxed geometry, as listed in the Alexandria database.

Calculated values
The value obtained for the raw formation energy is 2.44 eV per formula unit. As for the polymorph energy (0 for the lowest one): 0.00 eV per formula unit.

The structure in POSCAR format:
```
NiAsS3
1.0
4.4027 0.0000 0.0000
0.0000 4.4027 0.0000
0.0000 0.0000 4.4027
Ni As S
1 1 3
Cartesian
0.0000 0.0000 0.0000
2.2013 2.2013 2.2013
0.0000 0.0000 2.2013
0.0000 2.2013 0.0000
2.2013 0.0000 0.0000
```

***

6.
First-principles (GGA-PBE) data for crystalline NiAs3S at its relaxed geometry, as listed in the Alexandria database.

Calculated values
The value obtained for the raw formation energy is 2.94 eV per formula unit. As for the polymorph energy (0 for the lowest one): 0.00 eV per formula unit.

The structure in POSCAR format:
```
NiAs3S
1.0
4.6050 0.0000 0.0000
0.0000 4.6050 0.0000
0.0000 0.0000 4.6050
Ni As S
1 3 1
Cartesian
0.0000 0.0000 0.0000
0.0000 0.0000 2.3025
0.0000 2.3025 0.0000
2.3025 0.0000 0.0000
2.3025 2.3025 2.3025
```

***

7.
First-principles (GGA-PBE) data for crystalline Ni3AsS at its relaxed geometry, as listed in the Alexandria database.

Calculated values
The value obtained for the raw formation energy is 3.19 eV per formula unit. As for the polymorph energy (0 for the lowest one): 4.72 eV per formula unit.

The structure in POSCAR format:
```
Ni3AsS
1.0
4.3653 0.0000 0.0000
0.0000 4.3653 0.0000
0.0000 0.0000 4.3653
Ni As S
3 1 1
Cartesian
0.0000 0.0000 2.1826
0.0000 2.1826 0.0000
2.1826 0.0000 0.0000
0.0000 0.0000 0.0000
2.1826 2.1826 2.1826
```

***

8.
First-principles (GGA-PBE) data for crystalline Ni2AsS4 at its relaxed geometry, as listed in the Alexandria database.

Calculated values
The value obtained for the raw formation energy is -0.90 eV per formula unit.

The structure in POSCAR format:
```
Ni2AsS4
1.0
-3.1936 3.1936 5.6566
3.1936 -3.1936 5.6566
3.1936 3.1936 -5.6566
Ni As S
4 2 8
Cartesian
0.0000 0.0000 0.0000
-1.5968 1.5968 2.8283
0.0000 3.1936 0.0000
1.5968 1.5968 2.8283
3.1936 1.5968 -1.4141
0.0000 1.5968 7.0707
2.2211 2.9089 -3.6987
1.8815 0.6243 0.8704
2.2211 -0.2847 3.6987
1.3121 -0.6243 6.5269
1.8815 3.8179 -0.8704
0.9725 3.4783 1.9579
1.3121 2.5693 4.7862
0.9725 0.2847 9.3552
```

***

Total DFT energy (no corrections) list, top to bottom, in eV per atom: -5.77, -7.74, -6.57, -4.73, -4.07, -4.18, -4.59, -4.80
Volume list, top to bottom, in Å³ per atom: 19.66, 16.03, 16.60, 20.88, 17.07, 19.53, 16.64, 16.48